This record from the Alexandria database describes a geometry-optimized SmGaGe2 structure. The functional is PBE-GGA.

SG: R-3m (166)
Polymorph energy (0 for the lowest one) in eV per formula unit: 0.57
E_form in meV/atom: -325
Theoretical density in g/cm3: 6.957
E_tot in Ry/atom: -0.33593
Total magnetization in μB/atom: 0.000

Cell and atoms, written as POSCAR:
```
SmGaGe2
1.0
-3.311 -1.662 -2.581
-2.511 -3.444 1.489
-5.121 1.492 1.660
Ge Sm Ga
2 1 1
Direct
0.716 0.716 0.853
0.284 0.284 0.147
0.500 0.500 0.500
0.000 0.000 0.000
```